Entry 1:
Below is a relaxed structure of Dy12Ga6Ir, with properties calculated at the PBE-GGA level.

Output
- Calculated volume: 564.4 Å³/f.u.
- Formation enthalpy at 0 K: -5.4 eV/f.u.
- SG: R-3 (148)
- Mass density: 7533 kg/m3

Unit cell a=8.396 b=8.396 c=8.396 alpha=99.49 beta=99.49 gamma=99.49
Positions (direct):
Dy: 0.569 0.182 0.429
Dy: 0.818 0.571 0.431
Dy: 0.042 0.682 0.929
Ga: 0.621 0.302 0.136
Dy: 0.571 0.431 0.818
Dy: 0.958 0.318 0.071
Ir: 0.000 0.000 0.000
Dy: 0.431 0.818 0.571
Ga: 0.379 0.698 0.864
Dy: 0.318 0.071 0.958
Ga: 0.864 0.379 0.698
Ga: 0.698 0.864 0.379
Ga: 0.302 0.136 0.621
Dy: 0.429 0.569 0.182
Dy: 0.182 0.429 0.569
Dy: 0.682 0.929 0.042
Dy: 0.929 0.042 0.682
Dy: 0.071 0.958 0.318
Ga: 0.136 0.621 0.302

=====

Entry 2:
Below is a relaxed structure of Dy5GaIr4, with properties calculated at the PBE-GGA level.

Output
- Calculated volume: 207.7 Å³/f.u.
- Formation enthalpy at 0 K: -7.7 eV/f.u.
- SG: P4/mmm (123)
- Mass density: 13203 kg/m3

Unit cell a=3.489 b=3.489 c=17.061 alpha=90.00 beta=90.00 gamma=90.00
Positions (direct):
Ir: 0.000 0.000 0.203
Dy: 0.500 0.500 0.110
Ir: 0.000 0.000 0.599
Ir: 0.000 0.000 0.797
Dy: 0.500 0.500 0.304
Dy: 0.500 0.500 0.890
Dy: 0.500 0.500 0.696
Ir: 0.000 0.000 0.401
Ga: 0.000 0.000 0.000
Dy: 0.500 0.500 0.500

=====

Entry 3:
Below is a relaxed structure of Dy2Ga4Ir3, with properties calculated at the PBE-GGA level.

Output
- Calculated volume: 166.1 Å³/f.u.
- Formation enthalpy at 0 K: -5.7 eV/f.u.
- SG: Fmmm (69)
- Mass density: 11802 kg/m3

Unit cell a=5.514 b=5.514 c=6.893 alpha=101.46 beta=101.46 gamma=120.20
Positions (direct):
Ga: 0.007 0.668 0.675
Ir: 0.000 0.500 0.000
Ga: 0.668 0.007 0.675
Dy: 0.375 0.375 0.750
Ir: 0.000 0.000 0.000
Dy: 0.625 0.625 0.250
Ga: 0.993 0.332 0.325
Ga: 0.332 0.993 0.325
Ir: 0.500 0.000 0.000

=====

Entry 4:
Below is a relaxed structure of DyGaIr2, with properties calculated at the PBE-GGA level.

Output
- Calculated volume: 87.8 Å³/f.u.
- Formation enthalpy at 0 K: -0.3 eV/f.u.
- SG: Pmma (51)
- Mass density: 11665 kg/m3

Unit cell a=7.329 b=5.653 c=8.475 alpha=90.00 beta=90.00 gamma=90.00
Site moments in Bohr magnetons follow the coordinates.
Positions (direct):
Ir: 0.298 0.750 0.959  0.00
Ir: 0.702 0.250 0.041  0.00
Dy: 0.000 0.750 0.315  -0.01
Dy: 0.500 0.750 0.217  -0.01
Ir: 0.000 0.000 0.000  0.00
Ir: 0.500 0.000 0.500  0.10
Ga: 0.000 0.750 0.741  0.00
Dy: 0.500 0.250 0.783  -0.01
Ir: 0.500 0.500 0.500  0.10
Ga: 0.500 0.250 0.269  0.00
Ir: 0.000 0.500 0.000  0.00
Ir: 0.298 0.250 0.041  0.00
Dy: 0.000 0.250 0.685  -0.01
Ir: 0.702 0.750 0.959  0.00
Ga: 0.000 0.250 0.259  0.00
Ga: 0.500 0.750 0.731  0.00

=====

Copy entry 1 word for word.
Below is a relaxed structure of Dy12Ga6Ir, with properties calculated at the PBE-GGA level.

Output
- Calculated volume: 564.4 Å³/f.u.
- Formation enthalpy at 0 K: -5.4 eV/f.u.
- SG: R-3 (148)
- Mass density: 7533 kg/m3

Unit cell a=8.396 b=8.396 c=8.396 alpha=99.49 beta=99.49 gamma=99.49
Positions (direct):
Dy: 0.569 0.182 0.429
Dy: 0.818 0.571 0.431
Dy: 0.042 0.682 0.929
Ga: 0.621 0.302 0.136
Dy: 0.571 0.431 0.818
Dy: 0.958 0.318 0.071
Ir: 0.000 0.000 0.000
Dy: 0.431 0.818 0.571
Ga: 0.379 0.698 0.864
Dy: 0.318 0.071 0.958
Ga: 0.864 0.379 0.698
Ga: 0.698 0.864 0.379
Ga: 0.302 0.136 0.621
Dy: 0.429 0.569 0.182
Dy: 0.182 0.429 0.569
Dy: 0.682 0.929 0.042
Dy: 0.929 0.042 0.682
Dy: 0.071 0.958 0.318
Ga: 0.136 0.621 0.302

=====

- What is the calculated volume in the first record?
  564.4 Å³/f.u.

=====

- What is the formula in the first record?
  Dy12Ga6Ir

=====

- The highest calculated volume belongs to which entry?
  Dy12Ga6Ir